The following is a DFT calculation (PBE-GGA) of AlSiCl after structural relaxation. Values from VASP.

```
&SYSTEM
  ibrav = 0, nat = 6, ntyp = 3
/
ATOMIC_SPECIES
Si 28.09 Si.upf
Al 26.98 Al.upf
Cl 35.45 Cl.upf
ATOMIC_POSITIONS crystal
Si 0.317 0.318 0.555
Si 0.683 0.682 0.445
Al 0.044 0.092 0.309
Al 0.956 0.908 0.691
Cl 0.443 0.798 0.835
Cl 0.557 0.202 0.165
CELL_PARAMETERS angstrom
3.430 0.026 -0.005
1.716 3.406 -0.003
1.619 0.230 11.365
```

=====

The following is a DFT calculation (PBE-GGA) of AlSiCl after structural relaxation. Values from VASP.

```
&SYSTEM
  ibrav = 0, nat = 3, ntyp = 3
/
ATOMIC_SPECIES
Si 28.09 Si.upf
Al 26.98 Al.upf
Cl 35.45 Cl.upf
ATOMIC_POSITIONS crystal
Si 0.333 0.667 0.755
Al 0.000 0.000 0.010
Cl 0.667 0.333 0.235
CELL_PARAMETERS angstrom
3.173 0.000 0.000
-1.587 2.748 0.000
0.000 0.000 7.392
```

=====

The following is a DFT calculation (PBE-GGA) of AlSiCl2 after structural relaxation. Values from VASP.

```
&SYSTEM
  ibrav = 0, nat = 4, ntyp = 3
/
ATOMIC_SPECIES
Si 28.09 Si.upf
Al 26.98 Al.upf
Cl 35.45 Cl.upf
ATOMIC_POSITIONS crystal
Si 0.500 0.500 0.250
Al 0.500 0.500 0.750
Cl 0.000 0.000 0.993
Cl 0.000 0.000 0.507
CELL_PARAMETERS angstrom
3.239 -0.002 0.000
-1.641 2.792 0.000
0.000 0.000 8.686
```

=====

The following is a DFT calculation (PBE-GGA) of AlSi2Cl after structural relaxation. Values from VASP.

```
&SYSTEM
  ibrav = 0, nat = 4, ntyp = 3
/
ATOMIC_SPECIES
Si 28.09 Si.upf
Al 26.98 Al.upf
Cl 35.45 Cl.upf
ATOMIC_POSITIONS crystal
Si 0.250 0.250 0.250
Si 0.750 0.750 0.750
Al 0.000 0.000 0.000
Cl 0.500 0.500 0.500
CELL_PARAMETERS angstrom
-3.560 1.140 2.720
-0.836 4.442 0.973
-3.703 2.103 -1.799
```

=====

The following is a DFT calculation (PBE-GGA) of AlSi2Cl after structural relaxation. Values from VASP.

```
&SYSTEM
  ibrav = 0, nat = 4, ntyp = 3
/
ATOMIC_SPECIES
Si 28.09 Si.upf
Al 26.98 Al.upf
Cl 35.45 Cl.upf
ATOMIC_POSITIONS crystal
Si 0.000 0.000 0.089
Si 0.500 0.500 0.277
Al 0.000 0.000 0.477
Cl 0.500 0.500 0.658
CELL_PARAMETERS angstrom
-0.195 -2.227 1.925
2.918 -0.403 -0.171
1.202 5.807 6.839
```

=====

The following is a DFT calculation (PBE-GGA) of AlSiCl after structural relaxation. Values from VASP.

```
&SYSTEM
  ibrav = 0, nat = 12, ntyp = 3
/
ATOMIC_SPECIES
Si 28.09 Si.upf
Al 26.98 Al.upf
Cl 35.45 Cl.upf
ATOMIC_POSITIONS crystal
Si 0.250 0.569 0.363
Si 0.750 0.431 0.363
Si 0.750 0.069 0.863
Si 0.250 0.931 0.863
Al 0.250 0.784 0.560
Al 0.750 0.216 0.560
Al 0.750 0.284 0.060
Al 0.250 0.716 0.060
Cl 0.250 0.138 0.381
Cl 0.750 0.862 0.381
Cl 0.750 0.638 0.881
Cl 0.250 0.362 0.881
CELL_PARAMETERS angstrom
-2.989 -0.777 2.429
-5.858 -1.249 -7.609
1.599 -6.608 -0.146
```

=====

no.,raw formation energy (kcal/mol of atoms)
1,-9.3
2,-3.8
3,-0.4
4,11.8
5,3.4
6,-10.3